Entry 1:
DFT (GGA-PBE) results for a geometry-optimized GaI2O6 structure.

Values from the calculation:
magnetization: 0.000 μB per atom
formation energy from raw total energies: -0.51 eV per atom
SG: No. 15
D(E_F): 5.246 states/eV per cell

POSCAR file:
```
GaI2O6
1.0
4.511 -5.504 0.000
4.511 5.504 0.000
-0.872 0.000 5.296
Ga I O
2 4 12
Cartesian
3.857 4.698 3.972
4.293 -4.698 1.324
2.147 1.479 4.225
2.582 -1.479 1.577
5.568 1.479 3.719
6.004 -1.479 1.071
2.459 3.333 4.597
0.561 0.594 3.136
0.996 -0.594 0.488
3.236 1.335 2.747
5.256 3.333 3.347
4.478 1.335 5.197
3.672 -1.335 0.099
2.894 -3.333 1.949
4.914 -1.335 2.549
7.154 0.594 4.807
7.590 -0.594 2.160
5.692 -3.333 0.699
```



Entry 2:
DFT (GGA-PBE) results for a geometry-optimized LaPm4Ge2 structure.

Values from the calculation:
calculated total energy: -5.200 eV/atom
magnetization: 0.000 μB per atom
SG: No. 136
D(E_F): 17.133 states/eV per cell

POSCAR file:
```
LaPm4Ge2
1.0
10.008 0.000 0.000
0.000 10.008 0.000
0.000 0.000 4.166
La Pm Ge
2 8 4
Cartesian
0.000 0.000 0.000
5.004 5.004 2.083
1.027 3.305 2.083
1.699 6.031 0.000
3.305 1.027 2.083
3.977 8.309 0.000
6.031 1.699 0.000
6.703 8.981 2.083
8.309 3.977 0.000
8.981 6.703 2.083
1.690 8.318 2.083
3.314 3.314 0.000
6.694 6.694 0.000
8.318 1.690 2.083
```



Entry 3:
DFT (GGA-PBE) results for a geometry-optimized Ni2HgMo structure.

Values from the calculation:
calculated total energy: -5.533 eV/atom
magnetization: 0.000 μB per atom
SG: No. 123
D(E_F): 3.569 states/eV per cell

POSCAR file:
```
Ni2HgMo
1.0
2.780 0.000 0.000
0.000 2.780 0.000
0.000 0.000 7.554
Ni Hg Mo
2 1 1
Cartesian
0.000 0.000 1.733
0.000 0.000 5.821
1.390 1.390 3.777
1.390 1.390 0.000
```



Entry 4:
DFT (GGA-PBE) results for a geometry-optimized YPbS2 structure.

Values from the calculation:
magnetization: 0.000 μB per atom
formation energy from raw total energies: -0.59 eV per atom
SG: No. 166
D(E_F): 2.616 states/eV per cell

POSCAR file:
```
YPbS2
1.0
2.139 1.235 8.285
-2.139 1.235 8.285
0.000 -2.470 8.285
Y Pb S
1 1 2
Cartesian
0.000 0.000 0.000
0.000 0.000 12.427
0.000 0.000 2.528
0.000 0.000 22.327
```



Entry 5:
DFT (GGA-PBE) results for a geometry-optimized Cu4PdPt5 structure.

Values from the calculation:
calculated total energy: -5.303 eV/atom
magnetization: 0.000 μB per atom
SG: No. 123
D(E_F): 13.652 states/eV per cell

POSCAR file:
```
Cu4PdPt5
1.0
2.763 0.000 0.000
0.000 2.763 0.000
0.000 0.000 18.651
Cu Pd Pt
4 1 5
Cartesian
0.000 0.000 1.820
0.000 0.000 5.467
0.000 0.000 13.185
0.000 0.000 16.831
0.000 0.000 9.326
1.382 1.382 0.000
1.382 1.382 3.643
1.382 1.382 7.294
1.382 1.382 11.358
1.382 1.382 15.008
```



Entry 6:
DFT (GGA-PBE) results for a geometry-optimized TlFePCl2 structure.

Values from the calculation:
magnetization: 0.402 μB per atom
formation energy from raw total energies: -0.19 eV per atom
SG: No. 123
D(E_F): 4.001 states/eV per cell

POSCAR file:
```
TlFePCl2
1.0
5.155 0.000 0.000
0.000 5.155 0.000
0.000 0.000 4.352
Tl Fe P Cl
1 1 1 2
Cartesian
0.000 0.000 0.000
2.577 2.577 2.176
2.577 2.577 0.000
0.000 2.577 2.176
2.577 0.000 2.176
```



Entry 7:
DFT (GGA-PBE) results for a geometry-optimized NdAgBiRh structure.

Values from the calculation:
calculated total energy: -5.079 eV/atom
magnetization: 0.000 μB per atom
SG: No. 216
D(E_F): 2.368 states/eV per cell

POSCAR file:
```
NdAgBiRh
1.0
0.000 3.546 3.546
3.546 0.000 3.546
3.546 3.546 0.000
Nd Ag Bi Rh
1 1 1 1
Cartesian
0.000 0.000 0.000
5.320 5.320 5.320
3.546 3.546 3.546
1.773 1.773 1.773
```



Entry 8:
DFT (GGA-PBE) results for a geometry-optimized Ca12Sn5Hg2 structure.

Values from the calculation:
calculated total energy: -2.809 eV/atom
magnetization: 0.000 μB per atom
SG: No. 12
D(E_F): 8.547 states/eV per cell

POSCAR file:
```
Ca12Sn5Hg2
1.0
8.723 -3.780 0.000
8.723 3.780 0.000
-1.816 0.000 10.206
Ca Sn Hg
12 5 2
Cartesian
-0.225 0.000 2.943
3.987 1.922 9.013
5.254 1.874 4.336
10.376 1.874 5.870
11.642 1.922 1.193
7.762 0.000 1.892
7.868 0.000 8.315
3.987 -1.922 9.013
5.254 -1.874 4.336
10.376 -1.874 5.870
11.642 -1.922 1.193
15.854 0.000 7.263
1.318 0.000 8.623
2.801 0.000 3.671
7.815 0.000 5.103
12.828 0.000 6.536
14.311 0.000 1.584
8.723 2.288 0.000
8.723 -2.288 0.000
```